First-principles (PBEsol) data for a geometry-optimized Be2CuAu structure, as listed in Alexandria via LeMat-Bulk.

## Properties
**SG**: Imm2, No. 44
**Energy of formation from the pure elements**: -0.1127 eV/atom
**Spin magnetization**: 0.00 μB/cell

Structure (POSCAR):
```
Be2CuAu
1.0
3.2117 0.0000 0.0000
0.0000 3.6075 0.0000
-1.6058 -1.8038 3.8697
Cu Be Au
1 2 1
Cartesian
0.0000 0.0000 3.7961 Cu
1.6058 0.0000 1.9964 Be
0.0000 0.0000 0.0149 Be
0.0000 1.8038 1.9319 Au
```